Record 1
## Mn2NiHgCl (PBE-GGA)

Data for a relaxed Mn2NiHgCl crystal.

The value obtained for the spin magnetization is 8.015 Bohr magnetons per cell. Its electronic total energy is -19.31 eV for the cell shown.

Unit cell a=5.1374 b=5.1374 c=5.5488 alpha=90.00 beta=90.00 gamma=90.00
Space group P4/mmm (No. 123)
Asymmetric unit:
Mn  0.0000  0.5000  0.0000 (multiplicity 2)
Ni  0.0000  0.0000  0.5000 (multiplicity 1)
Hg  0.5000  0.5000  0.0000 (multiplicity 1)
Cl  0.5000  0.5000  0.5000 (multiplicity 1)



Record 2
## HoPuIrRu (PBE-GGA)

Data for a relaxed HoPuIrRu crystal.

The value obtained for the spin magnetization is 17.243 Bohr magnetons per cell. Its electronic total energy is -155.31 eV for the cell shown. As for the energy of formation: -0.45 eV per atom.

Unit cell a=6.7992 b=6.7992 c=6.7992 alpha=90.00 beta=90.00 gamma=90.00
Space group F-43m (No. 216)
Asymmetric unit:
Ho  0.0000  0.0000  0.0000 (multiplicity 4)
Pu  0.0000  0.0000  0.5000 (multiplicity 4)
Ir  0.2500  0.2500  0.2500 (multiplicity 4)
Ru  0.2500  0.2500  0.7500 (multiplicity 4)



Record 3
## Cs2CdAs (PBE-GGA)

Data for a relaxed Cs2CdAs crystal.

The value obtained for the spin magnetization is 4.065 Bohr magnetons per cell. Its electronic total energy is -29.46 eV for the cell shown. For the distance to the lowest polymorph of the same formula, the calculation gives 255 meV per atom. As for the energy of formation: -0.02 eV per atom.

Unit cell a=8.8975 b=8.8975 c=8.8975 alpha=90.00 beta=90.00 gamma=90.00
Space group Fm-3m (No. 225)
Asymmetric unit:
Cs  0.2500  0.2500  0.2500 (multiplicity 8)
Cd  0.0000  0.0000  0.0000 (multiplicity 4)
As  0.0000  0.0000  0.5000 (multiplicity 4)



Q: What is the formula in the second record?
A: HoPuIrRu